1.
Here is a geometry-optimized CaReTe2 structure from Alexandria. Energies are from PBEsol.

Summary:
ΔE_f (raw)	-0.141	eV/atom
space group	Cm
volume	25.06	Å³ per atom
total DFT energy (no corrections)	-23.083	eV/f.u.

Lattice parameters (Å, degrees): 3.4838 4.8381 6.8023 109.01 90.00 111.10
Fractional coordinates of all 4 atoms:
Te: 0.2359 0.4717 0.7696
Re: 0.7546 0.5092 0.0823
Ca: 0.4461 0.8922 0.4888
Te: 0.0634 0.1269 0.1593


2.
Here is a geometry-optimized HgPW2 structure from Alexandria. Energies are from PBEsol.

Summary:
space group	R3m
volume	16.89	Å³ per atom
DFT formation energy	327.9	meV/atom
total DFT energy (no corrections)	-32.662	eV/f.u.

Lattice parameters (Å, degrees): 2.9462 2.9462 9.1455 80.73 80.73 60.00
Fractional coordinates of all 4 atoms:
W: 0.9943 0.9943 0.0172
Hg: 0.4999 0.4999 0.5003
W: 0.7422 0.7422 0.7735
P: 0.2637 0.2637 0.2090


3.
Here is a geometry-optimized K2SbP structure from Alexandria. Energies are from PBEsol.

Summary:
ΔE_f (raw)	-0.323	eV/atom
space group	Amm2
volume	32.40	Å³ per atom
total DFT energy (no corrections)	-13.907	eV/f.u.

Lattice parameters (Å, degrees): 4.1176 5.3456 6.4665 114.41 90.00 90.00
Fractional coordinates of all 4 atoms:
Sb: 0.5000 0.6927 0.3854
K: 0.5000 0.3882 0.7764
K: 0.0000 0.1117 0.2234
P: 0.0000 0.8262 0.6524


4.
Here is a geometry-optimized NbCr3P6O24 structure from Alexandria. Energies are from PBEsol.

Summary:
ΔE_f (raw)	-2.096	eV/atom
space group	R3
volume	12.92	Å³ per atom
total DFT energy (no corrections)	-273.531	eV/f.u.

Lattice parameters (Å, degrees): 8.3813 8.3813 8.6946 61.19 61.19 60.00
Site moments in Bohr magnetons follow the coordinates.
Fractional coordinates of all 34 atoms:
Nb: 0.8592 0.8592 0.4224  0.03
O: 0.4954 0.8665 0.9296  -0.02
P: 0.2678 0.5167 0.2481  0.01
O: 0.0689 0.6847 0.2798  0.00
O: 0.4197 0.5811 0.2278  -0.02
O: 0.4024 0.2308 0.7751  -0.02
O: 0.3320 0.9883 0.4149  -0.02
P: 0.9675 0.2678 0.2481  0.01
P: 0.5167 0.9675 0.2481  0.01
O: 0.7714 0.4197 0.2278  -0.02
O: 0.6847 0.9666 0.2798  0.00
O: 0.6490 0.0148 0.5883  0.00
O: 0.2308 0.5917 0.7751  -0.02
O: 0.3090 0.4919 0.0684  -0.02
O: 0.2647 0.3320 0.4149  -0.02
O: 0.9666 0.0689 0.2798  0.00
O: 0.4919 0.1308 0.0684  -0.02
Cr: 0.1437 0.1437 0.5688  1.84
P: 0.0354 0.7499 0.7546  0.01
P: 0.4601 0.0354 0.7546  0.01
O: 0.8665 0.7085 0.9296  -0.02
O: 0.5917 0.4024 0.7751  -0.02
Cr: 0.6421 0.6421 0.0737  1.68
Cr: 0.3598 0.3598 0.9205  1.52
O: 0.0331 0.9488 0.7184  -0.02
O: 0.9883 0.2647 0.4149  -0.02
O: 0.5811 0.7714 0.2278  -0.02
P: 0.7499 0.4601 0.7546  0.01
O: 0.7480 0.6490 0.5883  0.00
O: 0.2997 0.0331 0.7184  -0.02
O: 0.7085 0.4954 0.9296  -0.02
O: 0.0148 0.7480 0.5883  0.00
O: 0.9488 0.2997 0.7184  -0.02
O: 0.1308 0.3090 0.0684  -0.02


5.
Here is a geometry-optimized W2NCl8 structure from Alexandria. Energies are from PBEsol.

Summary:
ΔE_f (raw)	-0.823	eV/atom
space group	P-1
volume	26.28	Å³ per atom
total DFT energy (no corrections)	-61.259	eV/f.u.

Lattice parameters (Å, degrees): 6.4807 6.5330 6.9305 89.91 82.38 83.79
Site moments in Bohr magnetons follow the coordinates.
Fractional coordinates of all 11 atoms:
Cl: 0.8916 0.3132 0.4107  0.01
W: 0.9467 0.4077 0.7659  0.43
Cl: 0.6382 0.6114 0.7715  -0.01
Cl: 0.2151 0.8706 0.1313  0.05
Cl: 0.3618 0.3886 0.2285  -0.01
N: 0.0000 0.5000 0.0000  -0.06
Cl: 0.7364 0.7819 0.3052  -0.01
W: 0.0533 0.5923 0.2341  0.43
Cl: 0.2636 0.2181 0.6948  -0.01
Cl: 0.1084 0.6868 0.5893  0.01
Cl: 0.7849 0.1294 0.8687  0.05


6.
Here is a geometry-optimized CuPPb2SO9 structure from Alexandria. Energies are from PBEsol.

Summary:
ΔE_f (raw)	-1.467	eV/atom
space group	P2_1/m
volume	12.94	Å³ per atom
total DFT energy (no corrections)	-90.295	eV/f.u.

Lattice parameters (Å, degrees): 5.5857 8.2979 8.3937 111.34 90.00 90.00
Fractional coordinates of all 28 atoms:
O: 0.9673 0.5017 0.6968
Pb: 0.2500 0.7280 0.6203
O: 0.2500 0.8860 0.4197
O: 0.4834 0.9825 0.2160
O: 0.7500 0.7932 0.5501
O: 0.2500 0.5528 0.0761
O: 0.2500 0.2640 0.0874
O: 0.7500 0.1140 0.5803
Cu: 0.5000 0.0000 0.0000
O: 0.0166 0.9825 0.2160
O: 0.2500 0.8548 0.9275
S: 0.7500 0.5485 0.8111
O: 0.7500 0.1452 0.0725
O: 0.7500 0.7360 0.9126
P: 0.2500 0.0153 0.3305
S: 0.2500 0.4515 0.1889
O: 0.9834 0.0175 0.7840
Cu: 0.0000 0.0000 0.0000
P: 0.7500 0.9847 0.6695
O: 0.4673 0.4983 0.3032
O: 0.5327 0.5017 0.6968
Pb: 0.7500 0.7081 0.2365
O: 0.7500 0.4472 0.9239
Pb: 0.2500 0.2919 0.7635
Pb: 0.7500 0.2720 0.3797
O: 0.5166 0.0175 0.7840
O: 0.0327 0.4983 0.3032
O: 0.2500 0.2068 0.4499


7.
Here is a geometry-optimized BeFeGe3 structure from Alexandria. Energies are from PBEsol.

Summary:
space group	Pm-3m
volume	17.67	Å³ per atom
DFT formation energy	576.9	meV/atom
total DFT energy (no corrections)	-24.896	eV/f.u.

Lattice parameters (Å, degrees): 4.4538 4.4538 4.4538 90.00 90.00 90.00
Site moments in Bohr magnetons follow the coordinates.
Fractional coordinates of all 5 atoms:
Ge: 0.5000 0.0000 0.0000  0.00
Be: 0.5000 0.5000 0.5000  0.00
Ge: 0.0000 0.0000 0.5000  0.00
Fe: 0.0000 0.0000 0.0000  0.06
Ge: 0.0000 0.5000 0.0000  0.00


8.
Here is a geometry-optimized KSiS2N structure from Alexandria. Energies are from PBEsol.

Summary:
ΔE_f (raw)	1.918	eV/atom
space group	P4/mmm
volume	26.51	Å³ per atom
total DFT energy (no corrections)	-14.583	eV/f.u.

Lattice parameters (Å, degrees): 4.6125 5.3612 5.3612 90.00 90.00 90.00
Site moments in Bohr magnetons follow the coordinates.
Fractional coordinates of all 5 atoms:
N: 0.5000 0.0000 0.0000  1.76
K: 0.0000 0.0000 0.0000  0.12
Si: 0.5000 0.5000 0.5000  -0.07
S: 0.0000 0.5000 0.0000  0.47
S: 0.0000 0.0000 0.5000  0.47


9.
Here is a geometry-optimized Cu5Rh3 structure from Alexandria. Energies are from PBEsol.

Summary:
space group	Cmmm
volume	12.29	Å³ per atom
DFT formation energy	111.8	meV/atom
total DFT energy (no corrections)	-45.192	eV/f.u.

Lattice parameters (Å, degrees): 3.6883 5.1638 5.1638 91.33 90.00 90.00
Site moments in Bohr magnetons follow the coordinates.
Fractional coordinates of all 8 atoms:
Cu: 0.5000 0.7571 0.7571  0.04
Rh: 0.0000 0.5000 0.5000  0.34
Cu: 0.0000 0.5000 0.0000  0.04
Rh: 0.5000 0.2512 0.7488  0.21
Cu: 0.0000 0.0000 0.0000  0.01
Rh: 0.5000 0.7488 0.2512  0.21
Cu: 0.0000 0.0000 0.5000  0.04
Cu: 0.5000 0.2429 0.2429  0.04


10.
Here is a geometry-optimized MgSc2In structure from Alexandria. Energies are from PBEsol.

Summary:
space group	Pmm2
volume	22.49	Å³ per atom
DFT formation energy	-179.2	meV/atom
total DFT energy (no corrections)	-18.627	eV/f.u.

Lattice parameters (Å, degrees): 3.2250 4.4853 6.2188 90.00 90.00 90.00
Fractional coordinates of all 4 atoms:
Sc: 0.5000 0.5000 0.2542
In: 0.0000 0.0000 0.4901
Sc: 0.0000 0.0000 0.9998
Mg: 0.5000 0.5000 0.7559


11.
Here is a geometry-optimized Mg4Au5 structure from Alexandria. Energies are from PBEsol.

Summary:
space group	P6_3/mcm
volume	17.45	Å³ per atom
DFT formation energy	-493.7	meV/atom
total DFT energy (no corrections)	-30.932	eV/f.u.

Lattice parameters (Å, degrees): 5.6673 8.0004 8.0004 120.00 90.00 90.00
Fractional coordinates of all 18 atoms:
Au: 0.0000 0.6667 0.3333
Mg: 0.5000 0.0000 0.0000
Au: 0.7500 0.3057 0.3057
Au: 0.7500 0.6943 0.0000
Mg: 0.7500 0.6397 0.6397
Mg: 0.2500 0.3603 0.3603
Au: 0.7500 0.0000 0.6943
Mg: 0.2500 0.0000 0.6397
Au: 0.2500 0.0000 0.3057
Au: 0.0000 0.3333 0.6667
Mg: 0.7500 0.0000 0.3603
Au: 0.2500 0.3057 0.0000
Mg: 0.7500 0.3603 0.0000
Mg: 0.2500 0.6397 0.0000
Au: 0.5000 0.3333 0.6667
Au: 0.2500 0.6943 0.6943
Au: 0.5000 0.6667 0.3333
Mg: 0.0000 0.0000 0.0000


12.
Here is a geometry-optimized Sc3Co2Ge3 structure from Alexandria. Energies are from PBEsol.

Summary:
space group	Cmcm
volume	15.93	Å³ per atom
DFT formation energy	-803.2	meV/atom
total DFT energy (no corrections)	-56.532	eV/f.u.

Lattice parameters (Å, degrees): 3.9921 5.2676 13.1008 90.00 90.00 112.27
Fractional coordinates of all 16 atoms:
Sc: 0.5790 0.1579 0.3893
Co: 0.2911 0.5823 0.4017
Sc: 0.4210 0.8421 0.8893
Sc: 0.1470 0.2940 0.7500
Ge: 0.8467 0.6935 0.7500
Sc: 0.5790 0.1579 0.1107
Ge: 0.1533 0.3065 0.2500
Ge: 0.1239 0.2477 0.9605
Ge: 0.8761 0.7523 0.0395
Sc: 0.8530 0.7060 0.2500
Sc: 0.4210 0.8421 0.6107
Co: 0.7089 0.4177 0.9017
Co: 0.2911 0.5823 0.0983
Ge: 0.1239 0.2477 0.5395
Co: 0.7089 0.4177 0.5983
Ge: 0.8761 0.7523 0.4605


13.
Here is a geometry-optimized PbBrCl structure from Alexandria. Energies are from PBEsol.

Summary:
ΔE_f (raw)	-1.011	eV/atom
space group	Pnma
volume	26.32	Å³ per atom
total DFT energy (no corrections)	-10.910	eV/f.u.

Lattice parameters (Å, degrees): 4.5132 7.6684 9.1243 90.00 90.00 90.00
Fractional coordinates of all 12 atoms:
Pb: 0.2500 0.2534 0.3925
Cl: 0.7500 0.3579 0.5685
Cl: 0.2500 0.1421 0.0685
Cl: 0.7500 0.8579 0.9315
Br: 0.2500 0.5280 0.8314
Br: 0.2500 0.0280 0.6686
Cl: 0.2500 0.6421 0.4315
Pb: 0.7500 0.7466 0.6075
Br: 0.7500 0.4720 0.1686
Pb: 0.7500 0.2466 0.8925
Pb: 0.2500 0.7534 0.1075
Br: 0.7500 0.9720 0.3314


14.
Here is a geometry-optimized Hf2ReAgHg structure from Alexandria. Energies are from PBEsol.

Summary:
space group	P4/mmm
volume	24.20	Å³ per atom
DFT formation energy	1871.6	meV/atom
total DFT energy (no corrections)	-28.858	eV/f.u.

Lattice parameters (Å, degrees): 4.7287 5.0586 5.0586 90.00 90.00 90.00
Site moments in Bohr magnetons follow the coordinates.
Fractional coordinates of all 5 atoms:
Hf: 0.0000 0.5000 0.0000  -0.04
Hg: 0.0000 0.0000 0.0000  -0.01
Re: 0.5000 0.5000 0.5000  0.21
Ag: 0.5000 0.0000 0.0000  0.00
Hf: 0.0000 0.0000 0.5000  -0.04


15.
Here is a geometry-optimized K2BeP structure from Alexandria. Energies are from PBEsol.

Summary:
space group	Cmmm
volume	25.37	Å³ per atom
DFT formation energy	642.5	meV/atom
total DFT energy (no corrections)	-9.488	eV/f.u.

Lattice parameters (Å, degrees): 3.0819 5.7387 5.7387 91.07 90.00 90.00
Fractional coordinates of all 4 atoms:
Be: 0.5000 0.5000 0.5000
P: 0.5000 0.0000 0.0000
K: 0.0000 0.5000 0.0000
K: 0.0000 0.0000 0.5000


16.
Here is a geometry-optimized BaGe2Pd structure from Alexandria. Energies are from PBEsol.

Summary:
space group	Fm-3m
volume	21.56	Å³ per atom
DFT formation energy	-107.1	meV/atom
total DFT energy (no corrections)	-18.414	eV/f.u.

Lattice parameters (Å, degrees): 4.9592 4.9592 4.9592 60.00 60.00 60.00
Fractional coordinates of all 4 atoms:
Ge: 0.7500 0.7500 0.7500
Pd: 0.0000 0.0000 0.0000
Ge: 0.2500 0.2500 0.2500
Ba: 0.5000 0.5000 0.5000


17.
Here is a geometry-optimized NaNdF4 structure from Alexandria. Energies are from PBEsol.

Summary:
ΔE_f (raw)	-3.701	eV/atom
space group	P1
volume	13.02	Å³ per atom
total DFT energy (no corrections)	-36.481	eV/f.u.

Lattice parameters (Å, degrees): 6.0756 7.0778 7.0841 62.66 64.74 64.75
Fractional coordinates of all 18 atoms:
Nd: 0.3364 0.9213 0.4090
F: 0.5951 0.1658 0.1951
Na: 0.6658 0.4792 0.1708
F: 0.2565 0.6241 0.1308
F: 0.0474 0.8195 0.7704
F: 0.9749 0.8886 0.3843
F: 0.0378 0.2801 0.3166
F: 0.3673 0.0054 0.0325
F: 0.7553 0.7339 0.2326
F: 0.7550 0.2431 0.7447
F: 0.9812 0.3800 0.8843
Na: 0.3310 0.4296 0.9051
F: 0.5914 0.7084 0.6588
F: 0.2776 0.1302 0.6246
Nd: 0.0028 0.9986 0.9982
F: 0.3640 0.5434 0.5010
Nd: 0.9973 0.5000 0.5051
Na: 0.6632 0.0008 0.6842


18.
Here is a geometry-optimized Li2SiAg structure from Alexandria. Energies are from PBEsol.

Summary:
ΔE_f (raw)	-0.178	eV/atom
space group	Pmmm
volume	14.48	Å³ per atom
total DFT energy (no corrections)	-13.705	eV/f.u.

Lattice parameters (Å, degrees): 2.7240 4.0071 5.3068 90.00 90.00 90.00
Fractional coordinates of all 4 atoms:
Li: 0.0000 0.0000 0.7649
Ag: 0.5000 0.5000 0.5000
Si: 0.5000 0.5000 0.0000
Li: 0.0000 0.0000 0.2351


19.
Here is a geometry-optimized CuAs2W structure from Alexandria. Energies are from PBEsol.

Summary:
space group	Pmmm
volume	15.30	Å³ per atom
DFT formation energy	528.8	meV/atom
total DFT energy (no corrections)	-26.239	eV/f.u.

Lattice parameters (Å, degrees): 3.2892 3.8984 4.7728 90.00 90.00 90.00
Fractional coordinates of all 4 atoms:
W: 0.0000 0.5000 0.5000
As: 0.0000 0.0000 0.0000
As: 0.5000 0.0000 0.5000
Cu: 0.5000 0.5000 0.0000


20.
Here is a geometry-optimized AlCd2Re structure from Alexandria. Energies are from PBEsol.

Summary:
space group	Cm
volume	17.05	Å³ per atom
DFT formation energy	333.4	meV/atom
total DFT energy (no corrections)	-18.484	eV/f.u.

Lattice parameters (Å, degrees): 2.7893 4.9212 5.2373 98.14 90.00 106.46
Fractional coordinates of all 4 atoms:
Cd: 0.2429 0.4859 0.7536
Cd: 0.9996 0.9992 0.9864
Al: 0.7602 0.5205 0.2894
Re: 0.4972 0.9944 0.4707


21.
Here is a geometry-optimized CaGaN3 structure from Alexandria. Energies are from PBEsol.

Summary:
ΔE_f (raw)	1.901	eV/atom
space group	Pm-3m
volume	18.87	Å³ per atom
total DFT energy (no corrections)	-21.550	eV/f.u.

Lattice parameters (Å, degrees): 4.5522 4.5522 4.5522 90.00 90.00 90.00
Site moments in Bohr magnetons follow the coordinates.
Fractional coordinates of all 5 atoms:
Ca: 0.0000 0.0000 0.0000  0.11
Ga: 0.5000 0.5000 0.5000  0.07
N: 0.0000 0.5000 0.0000  1.32
N: 0.0000 0.0000 0.5000  1.32
N: 0.5000 0.0000 0.0000  1.32


22.
Here is a geometry-optimized ZrBe2Sb structure from Alexandria. Energies are from PBEsol.

Summary:
ΔE_f (raw)	0.284	eV/atom
space group	I-42d
volume	16.93	Å³ per atom
total DFT energy (no corrections)	-20.511	eV/f.u.

Lattice parameters (Å, degrees): 5.5369 5.6675 5.6675 76.20 60.76 60.76
Fractional coordinates of all 8 atoms:
Be: 0.0997 0.0253 0.5253
Zr: 0.5000 0.0000 0.0000
Be: 0.8750 0.4747 0.0253
Be: 0.6503 0.9747 0.4747
Be: 0.3750 0.5253 0.9747
Sb: 0.0000 0.0000 0.0000
Zr: 0.2500 0.5000 0.5000
Sb: 0.7500 0.5000 0.5000


23.
Here is a geometry-optimized AlP2BrCl structure from Alexandria. Energies are from PBEsol.

Summary:
ΔE_f (raw)	0.305	eV/atom
space group	P4/mmm
volume	20.38	Å³ per atom
total DFT energy (no corrections)	-18.029	eV/f.u.

Lattice parameters (Å, degrees): 4.5346 4.7407 4.7407 90.00 90.00 90.00
Site moments in Bohr magnetons follow the coordinates.
Fractional coordinates of all 5 atoms:
Cl: 0.5000 0.0000 0.0000  0.02
P: 0.0000 0.0000 0.5000  0.12
Br: 0.5000 0.5000 0.5000  0.00
P: 0.0000 0.5000 0.0000  0.12
Al: 0.0000 0.0000 0.0000  0.00